LiZr2P: optimized geometry, GGA-PBEsol.

The structure in POSCAR format:
```
LiZr2P
1.0
-5.392 1.130 -0.436
-3.828 -4.144 1.567
-2.703 2.396 4.608
Li P Zr
2 2 4
Direct
0.250 0.500 0.500 Li
0.500 0.000 0.000 Li
0.000 0.000 0.000 P
0.750 0.500 0.500 P
0.875 0.474 0.026 Zr
0.651 0.974 0.474 Zr
0.099 0.026 0.526 Zr
0.375 0.526 0.974 Zr
```

Values from the calculation:
Its total energy is -6.7542 eV per atom. The mass density is 5.0 g/cm³. The density of states at the Fermi level comes out at 6.3 states/eV per cell. The value obtained for the formation energy is -270 meV per atom. As for the volume: 147.3 Å³/cell. The space group is I-42d.

SrMgCo2: optimized geometry, GGA-PBEsol.

The structure in POSCAR format:
```
SrMgCo2
1.0
-1.698 0.078 3.415
-1.353 -3.830 -0.585
5.026 0.041 2.498
Mg Co Sr
1 2 1
Direct
0.000 0.124 0.247 Mg
0.500 0.689 0.377 Co
0.000 0.782 0.565 Co
0.500 0.403 0.807 Sr
```

Values from the calculation:
Its total energy is -4.4325 eV per atom. The mass density is 4.7 g/cm³. The density of states at the Fermi level comes out at 4.4 states/eV per cell. The value obtained for the formation energy is 325 meV per atom. As for the volume: 81.8 Å³/cell. The space group is Amm2.

Ni2HPt: optimized geometry, GGA-PBEsol.

The structure in POSCAR format:
```
Ni2HPt
1.0
3.965 0.000 0.000
1.983 3.434 0.000
1.983 1.145 3.238
Ni H Pt
2 1 1
Direct
0.250 0.250 0.250 Ni
0.750 0.750 0.750 Ni
0.000 0.000 0.000 H
0.500 0.500 0.500 Pt
```

Values from the calculation:
Its total energy is -5.0740 eV per atom. The mass density is 11.8 g/cm³. The density of states at the Fermi level comes out at 6.2 states/eV per cell. As for the volume: 44.1 Å³/cell. The space group is Fm-3m.

AsPtSe2N: optimized geometry, GGA-PBEsol.

The structure in POSCAR format:
```
AsPtSe2N
1.0
3.625 0.000 0.000
0.000 5.108 0.000
0.000 0.000 5.108
Se N Pt As
2 1 1 1
Direct
0.000 0.000 0.500 Se
0.000 0.500 0.000 Se
0.500 0.000 0.000 N
0.000 0.000 0.000 Pt
0.500 0.500 0.500 As
```

Values from the calculation:
The calculation puts the formation energy from raw total energies at 284 kJ/mol of formula units. Its total energy is -5.0715 eV per atom. The mass density is 7.8 g/cm³. The density of states at the Fermi level comes out at 2.9 states/eV per cell. As for the volume: 94.6 Å³/cell. The space group is P4/mmm.

MnTlSe2N: optimized geometry, GGA-PBEsol.

The structure in POSCAR format:
```
MnTlSe2N
1.0
3.469 0.000 0.000
0.000 5.085 0.000
0.000 0.000 5.085
Tl Mn N Se
1 1 1 2
Direct
0.500 0.500 0.500 Tl
0.000 0.000 0.000 Mn
0.500 0.000 0.000 N
0.000 0.000 0.500 Se
0.000 0.500 0.000 Se
```

Values from the calculation:
The calculation puts the formation energy from raw total energies at 12 kJ/mol of formula units. Its total energy is -5.6982 eV per atom. The mass density is 8.0 g/cm³. The density of states at the Fermi level comes out at 2.5 states/eV per cell. As for the volume: 89.7 Å³/cell. The space group is P4/mmm.

CdPt5: optimized geometry, GGA-PBEsol.

The structure in POSCAR format:
```
CdPt5
1.0
-1.431 2.115 -0.995
-1.357 -2.665 -3.714
-5.051 -3.234 4.167
Pt Cd
5 1
Direct
0.360 0.000 0.721 Pt
0.528 0.500 0.055 Pt
0.194 0.500 0.387 Pt
0.862 0.500 0.723 Pt
0.696 0.000 0.391 Pt
0.028 0.000 0.056 Cd
```

Values from the calculation:
Its total energy is -6.0689 eV per atom. The mass density is 19.3 g/cm³. The density of states at the Fermi level comes out at 5.1 states/eV per cell. The value obtained for the formation energy is -66 meV per atom. As for the volume: 93.7 Å³/cell. The space group is Amm2.